Entry 1:
DFT (PBE) results for Ta2ZnCu after structural relaxation.

Values from the calculation:
ΔH_f (0 K) = 0.46 eV per atom
Fermi-level density of states = 22.4 states/eV per cell
VASP energy = -0.5001 Ry/atom

a b c (Å): 6.402 6.402 6.402
angles (deg): 90.00 90.00 90.00
Space group F-43m (No. 216)
Unique sites:
1 Ta 0.000 0.000 0.000 (multiplicity 4)
2 Ta 0.250 0.250 0.250 (multiplicity 4)
3 Zn 0.250 0.250 0.750 (multiplicity 4)
4 Cu 0.000 0.000 0.500 (multiplicity 4)


Entry 2:
DFT (PBE) results for ZrCo2W2 after structural relaxation.

Values from the calculation:
ΔH_f (0 K) = 0.16 eV per atom
energy relative to the lowest polymorph listed for this composition = 0.25 eV per formula unit
Fermi-level density of states = 13.3 states/eV per cell
VASP energy = -0.7035 Ry/atom

a b c (Å): 7.527 7.527 2.667
angles (deg): 90.00 90.00 90.00
Space group P4/mbm (No. 127)
Unique sites:
1 Zr 0.000 0.000 0.000 (multiplicity 2)
2 Co 0.171 0.329 0.500 (multiplicity 4)
3 W 0.125 0.625 0.000 (multiplicity 4)


Entry 3:
DFT (PBE) results for Tl2CrCuBr6 after structural relaxation.

Values from the calculation:
raw formation energy = -0.653 eV per atom
VASP energy = -0.2574 Ry/atom

a b c (Å): 7.672 7.932 9.611
angles (deg): 88.45 90.00 89.53
Space group P-1 (No. 2)
Unique sites:
1 Tl 0.039 0.491 0.250 (multiplicity 2)
2 Tl 0.459 0.992 0.750 (multiplicity 2)
3 Cr 0.000 0.000 0.500 (multiplicity 1)
4 Cr 0.500 0.500 0.000 (multiplicity 1)
5 Cu 0.000 0.000 0.000 (multiplicity 1)
6 Cu 0.500 0.500 0.500 (multiplicity 1)
7 Br 0.007 0.079 0.762 (multiplicity 2)
8 Br 0.213 0.757 0.541 (multiplicity 2)
9 Br 0.247 0.703 0.959 (multiplicity 2)
10 Br 0.251 0.201 0.461 (multiplicity 2)
11 Br 0.289 0.259 0.040 (multiplicity 2)
12 Br 0.489 0.579 0.262 (multiplicity 2)


Entry 4:
DFT (PBE) results for NaLiTl2 after structural relaxation.

Values from the calculation:
ΔH_f (0 K) = -0.10 eV per atom
energy relative to the lowest polymorph listed for this composition = 0.24 eV per formula unit
Fermi-level density of states = 4.0 states/eV per cell
VASP energy = -0.1540 Ry/atom

a b c (Å): 3.4773 3.4773 29.8909
angles (deg): 90.00 90.00 120.00
Space group R3m (No. 160, hexagonal axes)
Unique sites:
1 Na 0.0000 0.0000 0.0000 (multiplicity 3)
2 Li 0.0000 0.0000 0.1665 (multiplicity 3)
3 Tl 0.0000 0.0000 0.5759 (multiplicity 3)
4 Tl 0.0000 0.0000 0.7572 (multiplicity 3)


Entry 5:
DFT (PBE) results for LiGdDyMn after structural relaxation.

Values from the calculation:
ΔH_f (0 K) = 0.15 eV per atom
Fermi-level density of states = 17.4 states/eV per cell
VASP energy = -0.5360 Ry/atom

a b c (Å): 7.129 7.129 7.129
angles (deg): 90.00 90.00 90.00
Space group F-43m (No. 216)
Unique sites:
1 Li 0.000 0.000 0.000 (multiplicity 4)
2 Gd 0.250 0.250 0.750 (multiplicity 4)
3 Dy 0.250 0.250 0.250 (multiplicity 4)
4 Mn 0.000 0.000 0.500 (multiplicity 4)


Entry 6:
DFT (PBE) results for In3HPd after structural relaxation.

Values from the calculation:
energy relative to the lowest polymorph listed for this composition = 0.00 eV per formula unit
Fermi-level density of states = 2.0 states/eV per cell
VASP energy = -0.2337 Ry/atom

a b c (Å): 4.562 4.562 4.562
angles (deg): 90.00 90.00 90.00
Space group Pm-3m (No. 221)
Unique sites:
1 In 0.000 0.000 0.500 (multiplicity 3)
2 H 0.000 0.000 0.000 (multiplicity 1)
3 Pd 0.500 0.500 0.500 (multiplicity 1)